The following is a PBE with a Hubbard U calculation of crystalline YV2BiO8 at its relaxed geometry, from Alexandria via LeMat-Bulk.

Unit cell a=5.818 b=5.818 c=6.722 alpha=90.00 beta=90.00 gamma=120.00
Fractional coordinates of all 12 atoms:
Bi (0.000, 0.000, 0.000)
V (0.667, 0.333, 0.189)
V (0.333, 0.667, 0.811)
O (0.333, 0.667, 0.056)
O (0.164, 0.836, 0.734)
O (0.667, 0.333, 0.944)
O (0.836, 0.673, 0.266)
O (0.327, 0.164, 0.266)
O (0.836, 0.164, 0.266)
O (0.164, 0.327, 0.734)
O (0.673, 0.836, 0.734)
Y (0.000, 0.000, 0.500)

Output
* VASP energy: -90.0 eV for the cell shown
* density of states at the Fermi level: 0.00 states/eV per cell
* M_tot: 0.000 μB per formula unit
* energy relative to the lowest polymorph listed for this composition: 2.50 kcal/mol of atoms